Material: Li5VP2O8F2
Method: DFT, GGA-PBEsol
State: relaxed

Properties
The formation energy (no corrections) is -2457 meV/atom. As for the density of states at the Fermi level: 10.92 states/eV per cell. The value obtained for the uncorrected energy is -6.730 eV/atom.

Unit cell a=9.8321 b=9.8321 c=6.6833 alpha=90.00 beta=90.00 gamma=120.00
With the nearest neighbours (Å) after each atom.
Atoms (fractional coordinates):
Li (0.0000, 0.0000, 0.0000)  3 O 1.98, 3 F 2.04
Li (0.0000, 0.0000, 0.3970)  3 O 1.98
Li (0.1490, 0.3184, 0.2307)  1 F 1.89, 3 O 2.00-2.02
Li (0.1693, 0.8510, 0.2307)  1 F 1.89, 3 O 2.00-2.02
Li (0.3331, 0.1668, 0.4495)  2 O 2.06
Li (0.3333, 0.6667, 0.1721)  3 O 1.86
Li (0.3333, 0.6667, 0.6911)  3 O 1.86
Li (0.4976, 0.4820, 0.6687)  1 F 1.88, 3 O 2.00-2.03
Li (0.5180, 0.0156, 0.6687)  1 F 1.88, 3 O 2.00-2.03
Li (0.6667, 0.3333, 0.5004)  3 O 1.98
Li (0.6667, 0.3333, 0.8982)  3 O 1.98, 3 F 2.04
Li (0.6816, 0.8307, 0.2307)  1 F 1.89, 3 O 2.00-2.02
Li (0.8332, 0.1663, 0.4495)  2 O 2.06
Li (0.8337, 0.6669, 0.4495)  2 O 2.06
Li (0.9844, 0.5024, 0.6687)  1 F 1.88, 3 O 2.00-2.03
V (0.3334, 0.1667, 0.9494)  4 O 1.89-2.07, 2 F 2.02
V (0.8333, 0.1667, 0.9494)  4 O 1.89-2.07, 2 F 2.02
V (0.8333, 0.6666, 0.9494)  4 O 1.89-2.07, 2 F 2.02
P (0.1379, 0.2940, 0.6912)  4 O 1.53-1.56
P (0.1561, 0.8621, 0.6912)  4 O 1.53-1.56
P (0.5104, 0.4714, 0.2070)  4 O 1.53-1.56
P (0.5286, 0.0391, 0.2070)  4 O 1.53-1.56
P (0.7060, 0.8439, 0.6912)  4 O 1.53-1.56
P (0.9609, 0.4896, 0.2070)  4 O 1.53-1.56
O (0.0281, 0.1911, 0.8646)  1 P 1.56
O (0.0605, 0.2134, 0.4927)  1 P 1.54
O (0.1286, 0.6289, 0.1991)  1 P 1.53
O (0.1528, 0.9395, 0.4927)  1 P 1.54
O (0.1630, 0.9719, 0.8646)  1 P 1.56
O (0.1661, 0.4617, 0.6983)  1 P 1.53
O (0.2921, 0.2886, 0.7280)  1 P 1.56
O (0.2956, 0.8339, 0.6983)  1 P 1.53
O (0.3711, 0.4997, 0.1991)  1 P 1.53
O (0.3745, 0.0447, 0.1705)  1 P 1.56
O (0.5003, 0.8714, 0.1991)  1 P 1.53
O (0.5039, 0.3616, 0.0337)  1 P 1.56
O (0.5134, 0.3940, 0.4056)  1 P 1.54
O (0.5383, 0.7044, 0.6983)  1 P 1.53
O (0.6060, 0.1194, 0.4056)  1 P 1.54
O (0.6384, 0.1423, 0.0337)  1 P 1.56
O (0.6702, 0.6255, 0.1705)  1 P 1.56
O (0.7114, 0.0035, 0.7280)  1 P 1.56
O (0.7866, 0.8472, 0.4927)  1 P 1.54
O (0.8089, 0.8370, 0.8646)  1 P 1.56
O (0.8577, 0.4961, 0.0337)  1 P 1.56
O (0.8806, 0.4866, 0.4056)  1 P 1.54
O (0.9553, 0.3298, 0.1705)  1 P 1.56
O (0.9965, 0.7079, 0.7280)  1 P 1.56
F (0.1868, 0.1528, 0.1703)  2 Li 1.89-2.04, 1 V 2.02
F (0.4799, 0.1808, 0.7281)  2 Li 1.88-2.04, 1 V 2.02
F (0.7009, 0.5201, 0.7281)  2 Li 1.88-2.04, 1 V 2.02
F (0.8192, 0.2991, 0.7281)  2 Li 1.88-2.04, 1 V 2.02
F (0.8472, 0.0340, 0.1703)  2 Li 1.89-2.04, 1 V 2.02
F (0.9660, 0.8132, 0.1703)  2 Li 1.89-2.04, 1 V 2.02



Material: MnNb3H
Method: DFT, GGA-PBEsol
State: relaxed

Properties
As for the density of states at the Fermi level: 5.97 states/eV per cell. The value obtained for the uncorrected energy is -8.934 eV/atom.

Unit cell a=4.1169 b=4.1169 c=4.1169 alpha=90.00 beta=90.00 gamma=90.00
With the nearest neighbours (Å) after each atom.
Atoms (fractional coordinates):
Mn (0.0000, 0.0000, 0.0000)  12 Nb 2.91
Nb (0.0000, 0.5000, 0.5000)  2 H 2.06
Nb (0.5000, 0.0000, 0.5000)  2 H 2.06
Nb (0.5000, 0.5000, 0.0000)  2 H 2.06
H (0.5000, 0.5000, 0.5000)  6 Nb 2.06



Material: CoRh2
Method: DFT, GGA-PBEsol
State: relaxed

Properties
As for the density of states at the Fermi level: 4.36 states/eV per cell. The energy relative to the elements comes out at 0.2 eV per formula unit. The value obtained for the uncorrected energy is -7.945 eV/atom.

Unit cell a=5.7059 b=5.7059 c=5.7059 alpha=153.31 beta=153.31 gamma=38.11
With the nearest neighbours (Å) after each atom.
Atoms (fractional coordinates):
Co (0.0000, 0.0000, 0.0000)  8 Rh 2.54, 4 Co 2.63
Rh (0.3393, 0.3393, 0.0000)  4 Co 2.54, 8 Rh 2.63-2.68
Rh (0.6607, 0.6607, 0.0000)  4 Co 2.54, 8 Rh 2.63-2.68



Material: Ca3TaCl
Method: DFT, GGA-PBEsol
State: relaxed

Properties
The formation energy (no corrections) is 206 meV/atom. As for the density of states at the Fermi level: 3.23 states/eV per cell. The value obtained for the uncorrected energy is -3.986 eV/atom.

Unit cell a=5.2463 b=5.2463 c=5.2463 alpha=90.00 beta=90.00 gamma=90.00
With the nearest neighbours (Å) after each atom.
Atoms (fractional coordinates):
Ca (0.0000, 0.0000, 0.5000)  2 Cl 2.62
Ca (0.0000, 0.5000, 0.0000)  2 Cl 2.62
Ca (0.5000, 0.0000, 0.0000)  2 Cl 2.62
Ta (0.5000, 0.5000, 0.5000)  12 Ca 3.71
Cl (0.0000, 0.0000, 0.0000)  6 Ca 2.62



Material: BaTeP2
Method: DFT, GGA-PBEsol
State: relaxed

Properties
The formation energy (no corrections) is -492 meV/atom. As for the density of states at the Fermi level: 1.59 states/eV per cell. The value obtained for the uncorrected energy is -4.806 eV/atom.

Unit cell a=6.1264 b=6.1264 c=6.1264 alpha=147.70 beta=124.35 gamma=65.82
With the nearest neighbours (Å) after each atom.
Atoms (fractional coordinates):
Ba (0.0000, 0.0000, 0.0000)  2 Ba 3.41, 8 P 3.41-3.59, 4 Te 3.52-3.53
Te (0.7010, 0.2010, 0.5000)  6 P 3.29-3.45, 2 Te 3.41, 4 Ba 3.52-3.53
P (0.2895, 0.7895, 0.5000)  2 P 2.22
P (0.4276, 0.4276, 0.0000)  2 P 2.22



Material: LiMnAg2Rh
Method: DFT, GGA-PBEsol
State: relaxed

Properties
As for the density of states at the Fermi level: 3.29 states/eV per cell. The energy relative to the elements comes out at 4.1 eV per formula unit. The value obtained for the uncorrected energy is -4.486 eV/atom.

Unit cell a=5.0434 b=5.0434 c=4.5354 alpha=90.00 beta=90.00 gamma=90.00
With the nearest neighbours (Å) after each atom.
Atoms (fractional coordinates):
Li (0.0000, 0.0000, 0.0000)  8 Ag 3.39, 4 Mn 3.57
Mn (0.5000, 0.5000, 0.0000)  2 Rh 2.27
Ag (0.0000, 0.5000, 0.5000)  2 Rh 2.52
Ag (0.5000, 0.0000, 0.5000)  2 Rh 2.52
Rh (0.5000, 0.5000, 0.5000)  2 Mn 2.27, 4 Ag 2.52



Material: HPdCl2
Method: DFT, GGA-PBEsol
State: relaxed

Properties
As for the density of states at the Fermi level: 4.01 states/eV per cell. For the distance to the lowest polymorph of the same formula, the calculation gives 350 meV/atom. The value obtained for the uncorrected energy is -2.723 eV/atom.

Unit cell a=4.3556 b=4.3556 c=4.3556 alpha=60.00 beta=60.00 gamma=60.00
With the nearest neighbours (Å) after each atom.
Atoms (fractional coordinates):
H (0.0000, 0.0000, 0.0000)  8 Cl 2.67
Pd (0.5000, 0.5000, 0.5000)  8 Cl 2.67
Cl (0.2500, 0.2500, 0.2500)  4 H 2.67, 4 Pd 2.67
Cl (0.7500, 0.7500, 0.7500)  4 H 2.67, 4 Pd 2.67



Material: BeNi6Mo
Method: DFT, GGA-PBEsol
State: relaxed

Properties
As for the density of states at the Fermi level: 9.35 states/eV per cell. The energy relative to the elements comes out at -1.2 eV per formula unit. The value obtained for the uncorrected energy is -6.737 eV/atom.

Unit cell a=6.0426 b=6.0426 c=9.8980 alpha=90.00 beta=90.00 gamma=109.99
With the nearest neighbours (Å) after each atom.
Atoms (fractional coordinates):
Be (0.0000, 0.0000, 0.2373)  12 Ni 2.35-2.60
Be (0.0000, 0.0000, 0.7627)  12 Ni 2.35-2.60
Be (0.2594, 0.7406, 0.0000)  12 Ni 2.38-2.57
Be (0.7406, 0.2594, 0.0000)  12 Ni 2.38-2.57
Ni (0.0000, 0.0000, 0.0000)  4 Be 2.35-2.57, 8 Ni 2.43
Ni (0.0000, 0.0000, 0.5000)  8 Ni 2.44, 2 Mo 2.53, 2 Be 2.60
Ni (0.1197, 0.3705, 0.1223)  3 Be 2.39-2.47, 8 Ni 2.42-2.49, 1 Mo 2.45
Ni (0.1197, 0.3705, 0.8777)  3 Be 2.39-2.47, 8 Ni 2.42-2.49, 1 Mo 2.45
Ni (0.1212, 0.3678, 0.3720)  8 Ni 2.44-2.53, 1 Be 2.48, 3 Mo 2.49-2.52
Ni (0.1212, 0.3678, 0.6280)  8 Ni 2.44-2.53, 1 Be 2.48, 3 Mo 2.49-2.52
Ni (0.2486, 0.7514, 0.2462)  8 Ni 2.42-2.51, 2 Be 2.44-2.46, 2 Mo 2.49-2.51
Ni (0.2486, 0.7514, 0.7538)  8 Ni 2.42-2.51, 2 Be 2.44-2.46, 2 Mo 2.49-2.51
Ni (0.3678, 0.1212, 0.3720)  8 Ni 2.44-2.53, 1 Be 2.48, 3 Mo 2.49-2.52
Ni (0.3678, 0.1212, 0.6280)  8 Ni 2.44-2.53, 1 Be 2.48, 3 Mo 2.49-2.52
Ni (0.3705, 0.1197, 0.1223)  3 Be 2.39-2.47, 8 Ni 2.42-2.49, 1 Mo 2.45
Ni (0.3705, 0.1197, 0.8777)  3 Be 2.39-2.47, 8 Ni 2.42-2.49, 1 Mo 2.45
Ni (0.5000, 0.5000, 0.0000)  2 Mo 2.37, 2 Be 2.38, 8 Ni 2.48
Ni (0.5000, 0.5000, 0.5000)  4 Mo 2.42-2.58, 8 Ni 2.50
Ni (0.6295, 0.8803, 0.1223)  3 Be 2.39-2.47, 8 Ni 2.42-2.49, 1 Mo 2.45
Ni (0.6295, 0.8803, 0.8777)  3 Be 2.39-2.47, 8 Ni 2.42-2.49, 1 Mo 2.45
Ni (0.6322, 0.8788, 0.3720)  8 Ni 2.44-2.53, 1 Be 2.48, 3 Mo 2.49-2.52
Ni (0.6322, 0.8788, 0.6280)  8 Ni 2.44-2.53, 1 Be 2.48, 3 Mo 2.49-2.52
Ni (0.7514, 0.2486, 0.2462)  8 Ni 2.42-2.51, 2 Be 2.44-2.46, 2 Mo 2.49-2.51
Ni (0.7514, 0.2486, 0.7538)  8 Ni 2.42-2.51, 2 Be 2.44-2.46, 2 Mo 2.49-2.51
Ni (0.8788, 0.6322, 0.3720)  8 Ni 2.44-2.53, 1 Be 2.48, 3 Mo 2.49-2.52
Ni (0.8788, 0.6322, 0.6280)  8 Ni 2.44-2.53, 1 Be 2.48, 3 Mo 2.49-2.52
Ni (0.8803, 0.6295, 0.1223)  3 Be 2.39-2.47, 8 Ni 2.42-2.49, 1 Mo 2.45
Ni (0.8803, 0.6295, 0.8777)  3 Be 2.39-2.47, 8 Ni 2.42-2.49, 1 Mo 2.45
Mo (0.2556, 0.7444, 0.5000)  12 Ni 2.42-2.53
Mo (0.5000, 0.5000, 0.2394)  12 Ni 2.37-2.58
Mo (0.5000, 0.5000, 0.7606)  12 Ni 2.37-2.58
Mo (0.7444, 0.2556, 0.5000)  12 Ni 2.42-2.53



Material: FeCo2Si
Method: DFT, GGA-PBEsol
State: relaxed

Properties
The formation energy (no corrections) is -189 meV/atom. As for the density of states at the Fermi level: 3.69 states/eV per cell. The value obtained for the uncorrected energy is -7.735 eV/atom.

Unit cell a=4.5894 b=4.5894 c=2.4945 alpha=102.48 beta=102.48 gamma=117.02
With the nearest neighbours (Å) after each atom.
Atoms (fractional coordinates):
Fe (0.0000, 0.0000, 0.0000)  4 Co 2.36, 2 Si 2.40, 2 Fe 2.49
Co (0.0000, 0.5000, 0.5000)  2 Fe 2.36, 2 Si 2.36, 4 Co 2.40-2.49
Co (0.5000, 0.0000, 0.5000)  2 Fe 2.36, 2 Si 2.36, 4 Co 2.40-2.49
Si (0.5000, 0.5000, 0.0000)  4 Co 2.36, 2 Fe 2.40, 2 Si 2.49



Material: MgBe3Fe
Method: DFT, GGA-PBEsol
State: relaxed

Properties
As for the density of states at the Fermi level: 1.76 states/eV per cell. The energy relative to the elements comes out at 2.5 eV per formula unit. The value obtained for the uncorrected energy is -4.035 eV/atom.

Unit cell a=3.9794 b=3.9794 c=3.9794 alpha=90.00 beta=90.00 gamma=90.00
With the nearest neighbours (Å) after each atom.
Atoms (fractional coordinates):
Mg (0.0000, 0.0000, 0.0000)  12 Be 2.81
Be (0.0000, 0.5000, 0.5000)  2 Fe 1.99
Be (0.5000, 0.0000, 0.5000)  2 Fe 1.99
Be (0.5000, 0.5000, 0.0000)  2 Fe 1.99
Fe (0.5000, 0.5000, 0.5000)  6 Be 1.99



Material: Y2CuHg
Method: DFT, GGA-PBEsol
State: relaxed

Properties
As for the density of states at the Fermi level: 2.52 states/eV per cell. The energy relative to the elements comes out at -1.5 eV per formula unit. The value obtained for the uncorrected energy is -5.018 eV/atom.

Unit cell a=5.0283 b=5.0283 c=3.5671 alpha=90.00 beta=90.00 gamma=90.00
With the nearest neighbours (Å) after each atom.
Atoms (fractional coordinates):
Y (0.0000, 0.5000, 0.0000)  4 Hg 3.08, 4 Cu 3.08
Y (0.5000, 0.0000, 0.0000)  4 Hg 3.08, 4 Cu 3.08
Cu (0.0000, 0.0000, 0.5000)  8 Y 3.08
Hg (0.5000, 0.5000, 0.5000)  8 Y 3.08



Material: NiAu3
Method: DFT, GGA-PBEsol
State: relaxed

Properties
As for the density of states at the Fermi level: 3.05 states/eV per cell. The energy relative to the elements comes out at 0.3 eV per formula unit. The value obtained for the uncorrected energy is -4.397 eV/atom.

Unit cell a=9.1349 b=9.1349 c=9.1349 alpha=17.76 beta=17.76 gamma=17.76
With the nearest neighbours (Å) after each atom.
Atoms (fractional coordinates):
Ni (0.0000, 0.0000, 0.0000)  6 Au 2.62, 6 Ni 2.82
Au (0.2570, 0.2570, 0.2570)  3 Ni 2.62, 9 Au 2.82-2.93
Au (0.5000, 0.5000, 0.5000)  12 Au 2.82-2.93
Au (0.7430, 0.7430, 0.7430)  3 Ni 2.62, 9 Au 2.82-2.93